(1)
VASP calculation (PBE-GGA) on an optimized crystal structure of Bi4I3O4.

Values from the calculation:
V: 24.77 A^3/atom
E_form (uncorrected): -0.45 eV per atom

a = 3.6541 Å, b = 9.6024 Å, c = 15.5336 Å
α = 90.00°, β = 90.00°, γ = 90.00°
Last column: nearest neighbours and their distance in Å.
Space group Immm (No. 71)
Unique sites:
Bi  0.0000  0.0000  0.1858 (multiplicity 4)  4 O 2.44
Bi  0.0000  0.2414  0.5000 (multiplicity 4)  2 O 2.37
I  0.0000  0.0000  0.0000 (multiplicity 2)  6 Bi 2.89-3.08, 8 O 3.15
I  0.0000  0.5000  0.1229 (multiplicity 4)  6 Bi 3.49-3.51, 3 I 3.65-3.82, 4 O 3.84
O  0.0000  0.3510  0.3630 (multiplicity 8)  3 Bi 2.37-2.44


(2)
VASP calculation (PBE-GGA) on an optimized crystal structure of NaTa2Ru2.

Values from the calculation:
V: 17.82 A^3/atom
DFT formation energy: 0.050 eV per atom

a = 7.7202 Å, b = 7.7202 Å, c = 2.9901 Å
α = 90.00°, β = 90.00°, γ = 90.00°
Last column: nearest neighbours and their distance in Å.
Space group P4/mbm (No. 127)
Unique sites:
Na  0.0000  0.0000  0.0000 (multiplicity 2)  4 Ru 2.97, 2 Na 2.99, 8 Ta 3.31
Ta  0.1464  0.3536  0.5000 (multiplicity 4)  6 Ru 2.69-2.74, 2 Ta 2.99
Ru  0.1434  0.6434  0.0000 (multiplicity 4)  6 Ta 2.69-2.74, 2 Na 2.97, 2 Ru 2.99


(3)
VASP calculation (PBE-GGA) on an optimized crystal structure of NaCeSnSb.

Values from the calculation:
V: 27.60 A^3/atom
E_form (uncorrected): -0.42 eV per atom

a = 7.6147 Å, b = 7.6147 Å, c = 7.6147 Å
α = 90.00°, β = 90.00°, γ = 90.00°
Last column: nearest neighbours and their distance in Å.
Space group F-43m (No. 216)
Unique sites:
Na  0.0000  0.0000  0.0000 (multiplicity 4)  4 Sn 3.30, 4 Sb 3.30
Ce  0.0000  0.0000  0.5000 (multiplicity 4)  4 Sn 3.30, 4 Sb 3.30
Sn  0.2500  0.2500  0.2500 (multiplicity 4)  4 Ce 3.30, 4 Na 3.30
Sb  0.2500  0.2500  0.7500 (multiplicity 4)  4 Ce 3.30, 4 Na 3.30


For each record above, in turn, the calculated magnetization values are 0.000; 0.000; 3.721 Bohr magnetons per cell.